Mn3NbNi2P6O24 | Alexandria via LeMat-Bulk | GGA+U | relaxed; crystal system = trigonal; calculated volume = 12.598 A^3/atom; electronic total energy = -260.1 eV per cell; mass density = 3460 kg/m³; space-group type = R3 (146)
1.0
-3.210 -3.243 7.240
-3.149 -7.957 -0.062
4.311 -6.194 4.035
O P Mn Ni Nb
24 6 3 2 1
Cartesian
-4.942 -9.524 7.090 O
0.163 -9.747 7.076 O
-1.434 -11.005 9.182 O
-2.906 -12.321 6.870 O
2.921 -7.854 4.108 O
-2.188 -4.858 4.126 O
1.347 -8.936 9.151 O
-2.029 -10.913 2.855 O
-2.274 -7.688 4.191 O
-0.733 -6.635 6.106 O
-2.024 -5.019 7.603 O
2.437 -8.882 6.821 O
-1.540 -13.168 10.442 O
-1.272 -10.801 5.178 O
-3.126 -14.317 8.369 O
-3.407 -8.448 2.032 O
-0.586 -6.400 2.025 O
-0.030 -12.342 3.615 O
-3.617 -7.474 7.901 O
0.854 -5.060 4.368 O
-0.294 -14.660 8.355 O
0.119 -12.547 7.072 O
0.375 -8.044 4.121 O
-2.421 -9.442 7.077 O
1.565 -9.707 7.760 P
-0.625 -5.573 7.221 P
-1.488 -11.781 3.984 P
-3.588 -7.700 3.380 P
-3.665 -8.996 7.907 P
1.669 -8.348 3.336 P
-1.316 -11.186 7.210 Mn
-0.297 -2.524 1.627 Mn
-0.732 -6.216 4.007 Mn
-0.008 -0.068 0.044 Ni
-1.025 -8.713 5.616 Ni
-1.754 -14.903 9.606 Nb